Li8NiO4F2: relaxed, GGA+U.

* offset from the most stable computed form: 4 meV per atom
* crystal system: triclinic
* density of states at the Fermi level: 0.000 states/eV per atom

POSCAR file:
```
Li8NiO4F2
1.0
5.465 0.000 0.000
2.667 4.775 0.000
2.647 1.583 5.149
Li Ni O F
8 1 4 2
direct
0.016 0.395 0.366
0.096 0.216 0.000
0.255 0.963 0.666
0.390 0.714 0.353
0.610 0.286 0.647
0.745 0.037 0.334
0.904 0.784 0.000
0.984 0.605 0.634
0.500 0.500 0.000
0.107 0.741 0.235
0.260 0.577 0.765
0.740 0.423 0.235
0.893 0.259 0.765
0.399 0.089 0.279
0.601 0.911 0.721
```